DFT (PBEsol) results for a relaxed structure of NbHO3.

Computed properties:
**Total DFT energy (no corrections)**: -8.036 eV/atom

Lattice parameters (Å, degrees): 6.669 6.625 6.660 109.63 108.44 110.70
Fractional coordinates of all 20 atoms:
1 O 0.945 0.173 0.774
2 O 0.420 0.203 0.220
3 O 0.799 0.322 0.120
4 O 0.193 0.320 0.508
5 O 0.608 0.833 0.774
6 O 0.804 0.681 0.477
7 O 0.675 0.949 0.256
8 O 0.192 0.692 0.886
9 O 0.022 0.811 0.228
10 O 0.325 0.592 0.259
11 O 0.676 0.418 0.731
12 O 0.323 0.068 0.732
13 Nb 0.471 0.980 0.991
14 Nb 0.981 0.025 0.503
15 Nb 0.486 0.475 0.497
16 Nb 0.982 0.514 0.021
17 H 0.814 0.548 0.355
18 H 0.458 0.725 0.258
19 H 0.459 0.193 0.727
20 H 0.753 0.974 0.788

=====

DFT (PBEsol) results for a relaxed structure of NbP2HO.

Computed properties:
**Total DFT energy (no corrections)**: -5.888 eV/atom

Lattice parameters (Å, degrees): 3.886 4.880 4.880 90.00 90.00 90.00
Fractional coordinates of all 5 atoms:
1 Nb 0.000 0.000 0.000
2 O 0.500 0.000 0.000
3 P 0.000 0.500 0.000
4 P 0.000 0.000 0.500
5 H 0.500 0.500 0.500

=====

DFT (PBEsol) results for a relaxed structure of NbPHO2.

Computed properties:
**Total DFT energy (no corrections)**: -6.191 eV/atom

Lattice parameters (Å, degrees): 2.959 3.906 3.906 90.00 90.00 90.00
Fractional coordinates of all 5 atoms:
1 P 0.500 0.000 0.000
2 O 0.000 0.000 0.500
3 O 0.000 0.500 0.000
4 Nb 0.500 0.500 0.500
5 H 0.000 0.000 0.000

=====

DFT (PBEsol) results for a relaxed structure of Nb2P4H3O16.

Computed properties:
**Total DFT energy (no corrections)**: -7.617 eV/atom

Lattice parameters (Å, degrees): 5.041 7.284 8.245 90.29 91.74 105.57
Fractional coordinates of all 25 atoms:
1 H 0.357 0.577 0.601
2 H 0.997 0.999 0.999
3 H 0.637 0.422 0.397
4 O 0.652 0.308 0.057
5 O 0.662 0.850 0.336
6 O 0.473 0.203 0.329
7 O 0.773 0.618 0.848
8 O 0.068 0.331 0.823
9 O 0.342 0.691 0.941
10 O 0.926 0.668 0.175
11 O 0.333 0.149 0.662
12 O 0.522 0.795 0.670
13 O 0.211 0.039 0.077
14 O 0.221 0.380 0.151
15 O 0.867 0.159 0.562
16 O 0.783 0.960 0.922
17 O 0.754 0.545 0.448
18 O 0.240 0.454 0.550
19 O 0.128 0.840 0.436
20 Nb 0.997 0.499 0.999
21 Nb 0.497 0.999 0.499
22 P 0.613 0.773 0.850
23 P 0.381 0.226 0.148
24 P 0.863 0.725 0.346
25 P 0.131 0.273 0.653

=====

DFT (PBEsol) results for a relaxed structure of TiNbHO5.

Computed properties:
**Total DFT energy (no corrections)**: -8.521 eV/atom

Lattice parameters (Å, degrees): 3.793 6.526 16.568 90.00 90.00 90.00
Fractional coordinates of all 32 atoms:
1 O 0.750 0.425 0.579
2 O 0.250 0.233 0.914
3 O 0.250 0.837 0.227
4 O 0.250 0.075 0.079
5 O 0.250 0.733 0.586
6 O 0.750 0.663 0.727
7 O 0.750 0.526 0.865
8 O 0.250 0.140 0.508
9 O 0.250 0.640 0.992
10 O 0.750 0.026 0.635
11 O 0.250 0.974 0.365
12 O 0.750 0.767 0.086
13 O 0.750 0.360 0.008
14 O 0.250 0.337 0.273
15 O 0.750 0.163 0.773
16 O 0.750 0.267 0.414
17 O 0.750 0.925 0.921
18 O 0.250 0.575 0.421
19 O 0.250 0.474 0.135
20 O 0.750 0.860 0.492
21 H 0.250 0.408 0.193
22 H 0.750 0.092 0.693
23 H 0.250 0.908 0.307
24 H 0.750 0.592 0.807
25 Nb 0.250 0.292 0.378
26 Nb 0.750 0.208 0.878
27 Nb 0.250 0.792 0.122
28 Nb 0.750 0.708 0.622
29 Ti 0.750 0.178 0.536
30 Ti 0.250 0.322 0.036
31 Ti 0.250 0.822 0.464
32 Ti 0.750 0.678 0.964

=====

DFT (PBEsol) results for a relaxed structure of NbHOs2.

Computed properties:
**Total DFT energy (no corrections)**: -8.844 eV/atom

Lattice parameters (Å, degrees): 4.234 4.234 4.234 60.00 60.00 60.00
Fractional coordinates of all 4 atoms:
1 Nb 0.500 0.500 0.500
2 Os 0.250 0.250 0.250
3 Os 0.750 0.750 0.750
4 H 0.000 0.000 0.000

=====

DFT (PBEsol) results for a relaxed structure of Nb2H2Os.

Computed properties:
**Total DFT energy (no corrections)**: -8.342 eV/atom

Lattice parameters (Å, degrees): 2.974 2.974 6.536 103.15 103.15 90.00
Fractional coordinates of all 5 atoms:
1 Nb 0.642 0.642 0.285
2 Nb 0.358 0.358 0.715
3 H 0.750 0.250 0.500
4 H 0.250 0.750 0.500
5 Os 0.000 0.000 0.000

=====

DFT (PBEsol) results for a relaxed structure of NbP2HS.

Computed properties:
**Total DFT energy (no corrections)**: -5.311 eV/atom

Lattice parameters (Å, degrees): 4.705 4.805 4.805 90.00 90.00 90.00
Fractional coordinates of all 5 atoms:
1 H 0.500 0.500 0.500
2 P 0.000 0.000 0.500
3 P 0.000 0.500 0.000
4 Nb 0.000 0.000 0.000
5 S 0.500 0.000 0.000

=====

DFT (PBEsol) results for a relaxed structure of Nb2SbPH.

Computed properties:
**Total DFT energy (no corrections)**: -6.999 eV/atom

Lattice parameters (Å, degrees): 3.317 4.869 4.869 90.00 90.00 90.00
Fractional coordinates of all 5 atoms:
1 H 0.500 0.000 0.000
2 Nb 0.000 0.500 0.000
3 Nb 0.000 0.000 0.500
4 Sb 0.500 0.500 0.500
5 P 0.000 0.000 0.000

=====

DFT (PBEsol) results for a relaxed structure of Nb3HPd.

Computed properties:
**Total DFT energy (no corrections)**: -8.462 eV/atom

Lattice parameters (Å, degrees): 4.117 4.117 4.117 90.00 90.00 90.00
Fractional coordinates of all 5 atoms:
1 Pd 0.500 0.500 0.500
2 Nb 0.500 0.000 0.000
3 Nb 0.000 0.000 0.500
4 Nb 0.000 0.500 0.000
5 H 0.000 0.000 0.000

=====

DFT (PBEsol) results for a relaxed structure of NbH3Pt.

Computed properties:
**Total DFT energy (no corrections)**: -5.485 eV/atom

Lattice parameters (Å, degrees): 3.488 3.488 3.488 90.00 90.00 90.00
Fractional coordinates of all 5 atoms:
1 H 0.000 0.000 0.500
2 H 0.000 0.500 0.000
3 H 0.500 0.000 0.000
4 Pt 0.000 0.000 0.000
5 Nb 0.500 0.500 0.500

=====

DFT (PBEsol) results for a relaxed structure of Nb3HPt.

Computed properties:
**Total DFT energy (no corrections)**: -8.835 eV/atom

Lattice parameters (Å, degrees): 4.114 4.114 4.114 90.00 90.00 90.00
Fractional coordinates of all 5 atoms:
1 Pt 0.500 0.500 0.500
2 Nb 0.000 0.500 0.000
3 Nb 0.000 0.000 0.500
4 Nb 0.500 0.000 0.000
5 H 0.000 0.000 0.000

=====

Question: Which value of total DFT energy (no corrections) does entry 12 give?
Answer: -8.835 eV/atom

=====

Question: Among the records above, which one has the highest total DFT energy (no corrections)?
Answer: NbP2HS

=====

Question: Look up the total DFT energy (no corrections) of the fifth one.
Answer: -8.521 eV/atom

=====

Question: The highest total DFT energy (no corrections) belongs to which entry?
Answer: NbP2HS